# CaLa2O PBE-GGA relaxed
# Calculated total energy = -5.476 eV/atom
# DOS at the Fermi energy = 5.4 states/eV/f.u.
# Uncorrected formation energy = -491 kJ/mol of formula units
# Space-group type = I-42d
data_CaLa2O
_chemical_formula_sum 'Ca2 La4 O2'
_cell_length_a 7.545
_cell_length_b 7.545
_cell_length_c 7.213
_cell_angle_alpha 58.47
_cell_angle_beta 58.47
_cell_angle_gamma 90.00
_symmetry_space_group_name_H-M 'P 1'
_symmetry_Int_Tables_number 1
_symmetry_space_group_name_Hall 'P 1'
loop_
_atom_site_label
_atom_site_fract_x
_atom_site_fract_y
_atom_site_fract_z
_atom_site_occupancy
O1 0.500 0.500 0.000 1
O2 0.250 0.750 0.500 1
La1 0.875 0.720 0.750 1
La2 0.280 0.625 0.250 1
La3 0.375 0.530 0.750 1
La4 0.470 0.125 0.250 1
Ca1 0.000 0.000 0.000 1
Ca2 0.750 0.250 0.500 1